*P*
BeNiS2N | PBE-GGA | relaxed

The space group is P4/mmm (No. 123) and the conventional cell measures 4.662, 4.662 and 3.359 Å, with angles of 90.00, 90.00 and 90.00 degrees. The inequivalent atoms are Be at (0.000, 0.000, 0.000), Ni at (0.500, 0.500, 0.500), S at (0.000, 0.500, 0.500) and N at (0.500, 0.500, 0.000).

The calculation puts the spin magnetization at 0.29 μB/f.u.


*Q*
BeNiS2N | PBE-GGA | relaxed

The space group is P4/mmm (No. 123) and the conventional cell measures 4.559, 4.559 and 3.021 Å, with angles of 90.00, 90.00 and 90.00 degrees. The inequivalent atoms are Be at (0.000, 0.000, 0.000), Ni at (0.500, 0.500, 0.500), S at (0.000, 0.500, 0.000) and N at (0.000, 0.000, 0.500).

The calculation puts the spin magnetization at 0.00 μB/f.u.


Last place for stability: *P*


*P*
Zr2BeNiN | PBE-GGA | relaxed

The space group is P4/mmm (No. 123) and the conventional cell measures 4.426, 4.426 and 3.723 Å, with angles of 90.00, 90.00 and 90.00 degrees. The inequivalent atoms are Zr at (0.000, 0.500, 0.000), Be at (0.000, 0.000, 0.500), Ni at (0.500, 0.500, 0.500) and N at (0.500, 0.500, 0.000).

The calculation puts the spin magnetization at 0.00 μB/f.u.


*Q*
Zr2BeNiN | PBE-GGA | relaxed

The space group is P2_1/m (No. 11) and the conventional cell measures 6.002, 3.389 and 7.084 Å, with angles of 90.00, 106.84 and 90.00 degrees. The inequivalent atoms are Zr at (0.186, 0.250, 0.401), Zr at (0.213, 0.250, 0.956), Be at (0.447, 0.750, 0.249), Ni at (0.322, 0.750, 0.699) and N at (0.165, 0.750, 0.171).

The calculation puts the spin magnetization at 0.00 μB/f.u.


Last place for stability: *P*